(1)
Computed, not measured: a geometry-optimized ThIn2Ag structure at the PBE-GGA level of DFT.

Results
Its uncorrected energy is -4.1481 eV per atom.

a b c (Å): 4.671 4.668 4.668
angles (deg): 90.00 90.00 90.00
Fractional positions:
Ag 0.500 0.500 0.500
Th 0.500 0.000 0.000
In 0.000 0.000 0.500
In 0.000 0.500 0.000

(2)
Computed, not measured: a geometry-optimized Sm15Y4Tm structure at the PBE-GGA level of DFT.

Results
Its uncorrected energy is -5.0409 eV per atom.

a b c (Å): 5.114 5.114 25.511
angles (deg): 90.00 90.00 90.00
Fractional positions:
Sm 0.500 0.500 0.000
Sm 0.500 0.500 0.199
Sm 0.500 0.500 0.400
Sm 0.500 0.500 0.600
Sm 0.500 0.500 0.801
Sm 0.500 0.000 0.099
Sm 0.500 0.000 0.300
Sm 0.500 0.000 0.500
Sm 0.500 0.000 0.700
Sm 0.500 0.000 0.901
Sm 0.000 0.500 0.099
Sm 0.000 0.500 0.300
Sm 0.000 0.500 0.500
Sm 0.000 0.500 0.700
Sm 0.000 0.500 0.901
Y 0.000 0.000 0.199
Y 0.000 0.000 0.400
Y 0.000 0.000 0.600
Y 0.000 0.000 0.801
Tm 0.000 0.000 0.000